Here is crystalline SbWAu2 at its relaxed geometry from Alexandria via LeMat-Bulk. Energies are from GGA-PBE.

```
data_SbWAu2
_symmetry_space_group_name_H-M 'P 1'
_symmetry_Int_Tables_number 1
_cell_length_a 3.1732
_cell_length_b 4.6540
_cell_length_c 5.0639
_cell_angle_alpha 90.00
_cell_angle_beta 90.00
_cell_angle_gamma 90.00
loop_
_symmetry_equiv_pos_as_xyz
'x,y,z'
loop_
_atom_site_label
_atom_site_fract_x
_atom_site_fract_y
_atom_site_fract_z
Sb1 0.0000 0.0000 0.0000
W1 0.5000 0.5000 0.0000
Au1 0.0000 0.5000 0.5000
Au2 0.5000 0.0000 0.5000
```

Output
E_tot   -5.385 eV per atom


Here is crystalline PuGaHgSb at its relaxed geometry from Alexandria via LeMat-Bulk. Energies are from GGA-PBE.

```
data_PuGaHgSb
_symmetry_space_group_name_H-M 'P 1'
_symmetry_Int_Tables_number 1
_cell_length_a 4.3898
_cell_length_b 4.5005
_cell_length_c 4.8210
_cell_angle_alpha 90.00
_cell_angle_beta 90.00
_cell_angle_gamma 90.00
loop_
_symmetry_equiv_pos_as_xyz
'x,y,z'
loop_
_atom_site_label
_atom_site_fract_x
_atom_site_fract_y
_atom_site_fract_z
Pu1 0.0000 0.0000 0.0000
Ga1 0.5000 0.0000 0.5000
Hg1 0.0000 0.5000 0.5000
Sb1 0.5000 0.5000 0.0000
```

Output
Distance to the lowest polymorph of the same formula   0.0000 eV/atom


Here is crystalline ZrVRe4 at its relaxed geometry from Alexandria via LeMat-Bulk. Energies are from GGA-PBE.

```
data_ZrVRe4
_symmetry_space_group_name_H-M 'P 1'
_symmetry_Int_Tables_number 1
_cell_length_a 5.2243
_cell_length_b 5.2243
_cell_length_c 5.2243
_cell_angle_alpha 60.00
_cell_angle_beta 60.00
_cell_angle_gamma 60.00
loop_
_symmetry_equiv_pos_as_xyz
'x,y,z'
loop_
_atom_site_label
_atom_site_fract_x
_atom_site_fract_y
_atom_site_fract_z
Zr1 0.0000 0.0000 0.0000
V1 0.2500 0.2500 0.2500
Re1 0.1247 0.6251 0.6251
Re2 0.6251 0.1247 0.6251
Re3 0.6251 0.6251 0.1247
Re4 0.6251 0.6251 0.6251
```

Output
Formation enthalpy at 0 K   -0.041 eV/atom


Here is crystalline Th2MgHg4 at its relaxed geometry from Alexandria via LeMat-Bulk. Energies are from GGA-PBE.

```
data_Th2MgHg4
_symmetry_space_group_name_H-M 'P 1'
_symmetry_Int_Tables_number 1
_cell_length_a 9.2385
_cell_length_b 9.2385
_cell_length_c 9.2385
_cell_angle_alpha 31.90
_cell_angle_beta 31.90
_cell_angle_gamma 31.90
loop_
_symmetry_equiv_pos_as_xyz
'x,y,z'
loop_
_atom_site_label
_atom_site_fract_x
_atom_site_fract_y
_atom_site_fract_z
Th1 0.2502 0.2502 0.2502
Th2 0.7498 0.7498 0.7498
Mg1 0.0000 0.0000 0.0000
Hg1 0.1307 0.1307 0.1307
Hg2 0.3737 0.3737 0.3737
Hg3 0.6263 0.6263 0.6263
Hg4 0.8693 0.8693 0.8693
```

Output
Formation enthalpy at 0 K   -0.140 eV/atom
Distance to the lowest polymorph of the same formula   0.0000 eV/atom


Here is crystalline NaZr3Te at its relaxed geometry from Alexandria via LeMat-Bulk. Energies are from GGA-PBE.

```
data_NaZr3Te
_symmetry_space_group_name_H-M 'P 1'
_symmetry_Int_Tables_number 1
_cell_length_a 5.0063
_cell_length_b 5.0063
_cell_length_c 5.0063
_cell_angle_alpha 90.00
_cell_angle_beta 90.00
_cell_angle_gamma 90.00
loop_
_symmetry_equiv_pos_as_xyz
'x,y,z'
loop_
_atom_site_label
_atom_site_fract_x
_atom_site_fract_y
_atom_site_fract_z
Na1 0.0000 0.0000 0.0000
Zr1 0.0000 0.0000 0.5000
Zr2 0.0000 0.5000 0.0000
Zr3 0.5000 0.0000 0.0000
Te1 0.5000 0.5000 0.5000
```

Output
Distance to the lowest polymorph of the same formula   0.5261 eV/atom


Here is crystalline NbHO2 at its relaxed geometry from Alexandria via LeMat-Bulk. Energies are from GGA-PBE.

```
data_NbHO2
_symmetry_space_group_name_H-M 'P 1'
_symmetry_Int_Tables_number 1
_cell_length_a 5.8301
_cell_length_b 5.8301
_cell_length_c 5.8301
_cell_angle_alpha 29.23
_cell_angle_beta 29.23
_cell_angle_gamma 29.23
loop_
_symmetry_equiv_pos_as_xyz
'x,y,z'
loop_
_atom_site_label
_atom_site_fract_x
_atom_site_fract_y
_atom_site_fract_z
Nb1 0.0000 0.0000 0.0000
H1 0.5000 0.5000 0.5000
O1 0.1120 0.1120 0.1120
O2 0.8880 0.8880 0.8880
```

Output
E_tot   -5.885 eV per atom